Record 1
Computed, not measured: an optimized crystal structure of TiV2HgH at the PBE level of DFT.

Structure (POSCAR):
```
TiV2HgH
1.0
-2.354 -0.319 3.114
0.165 -3.903 -0.276
3.382 -0.037 2.554
Hg V H Ti
1 2 1 1
direct
0.500 0.500 0.500 Hg
0.000 0.500 0.000 V
0.500 0.000 0.000 V
0.000 0.000 0.000 H
0.000 0.000 0.500 Ti
```

=====

Record 2
Computed, not measured: an optimized crystal structure of ZrTi2HgH at the PBE level of DFT.

Structure (POSCAR):
```
ZrTi2HgH
1.0
-1.112 1.934 3.611
-3.992 0.326 -1.404
-0.929 -3.813 1.756
Hg H Ti Zr
1 1 2 1
direct
0.500 0.500 0.500 Hg
0.000 0.000 0.000 H
0.000 0.500 0.000 Ti
0.500 0.000 0.000 Ti
0.000 0.000 0.500 Zr
```

Results
**E above lowest polymorph**: 0 meV per atom

=====

Record 3
Computed, not measured: an optimized crystal structure of ZrTi2HgH at the PBE level of DFT.

Structure (POSCAR):
```
ZrTi2HgH
1.0
-2.880 -1.716 -2.459
-2.393 -0.740 3.319
-1.987 4.083 -0.522
Zr Hg Ti H
1 1 2 1
direct
0.500 0.500 0.500 Zr
0.000 0.000 0.500 Hg
0.500 0.000 0.000 Ti
0.000 0.500 0.000 Ti
0.000 0.000 0.000 H
```

Results
**E above lowest polymorph**: 207 meV per atom

=====

Record 4
Computed, not measured: an optimized crystal structure of TlHg3H8 at the PBE level of DFT.

Structure (POSCAR):
```
TlHg3H8
1.0
-4.192 4.192 3.071
4.192 -4.192 3.071
4.192 4.192 -3.071
Hg H Tl
3 8 1
direct
0.250 0.750 0.500 Hg
0.000 0.000 0.000 Hg
0.750 0.250 0.500 Hg
0.791 0.791 0.443 H
0.769 0.214 0.000 H
0.209 0.652 0.000 H
0.786 0.786 0.555 H
0.231 0.231 0.445 H
0.652 0.209 0.000 H
0.348 0.348 0.557 H
0.214 0.769 0.000 H
0.500 0.500 0.000 Tl
```

=====

Record 5
Computed, not measured: an optimized crystal structure of Tl3Hg6H at the PBE level of DFT.

Structure (POSCAR):
```
Tl3Hg6H
1.0
3.664 0.000 0.000
0.000 13.476 -11.452
0.000 -5.396 15.390
Hg H Tl
12 2 6
direct
0.250 0.285 0.182 Hg
0.750 0.203 0.943 Hg
0.250 0.872 0.634 Hg
0.750 0.547 0.316 Hg
0.750 0.347 0.741 Hg
0.250 0.247 0.820 Hg
0.750 0.715 0.818 Hg
0.750 0.128 0.366 Hg
0.250 0.653 0.259 Hg
0.750 0.753 0.180 Hg
0.250 0.797 0.057 Hg
0.250 0.453 0.684 Hg
0.750 0.546 0.966 H
0.250 0.454 0.034 H
0.750 0.967 0.884 Tl
0.250 0.637 0.571 Tl
0.250 0.051 0.457 Tl
0.250 0.033 0.116 Tl
0.750 0.949 0.543 Tl
0.750 0.363 0.429 Tl
```

=====

Record 6
Computed, not measured: an optimized crystal structure of TlHgH3 at the PBE level of DFT.

Structure (POSCAR):
```
TlHgH3
1.0
-3.745 -1.701 0.190
1.215 -2.964 -2.587
1.205 -2.297 3.198
H Hg Tl
3 1 1
direct
0.000 0.500 0.000 H
0.000 0.000 0.500 H
0.500 0.000 0.000 H
0.000 0.000 0.000 Hg
0.500 0.500 0.500 Tl
```

Results
**E above lowest polymorph**: 72 meV per atom

=====

We obtain raw total energy values of -5.944, -5.819, -5.613, -2.396, -1.156, -2.129 eV/atom for the records listed above, in that order.
We obtain DOS at the Fermi energy values of 1.195, 0.437, 1.029, 0.184, 0.258, 0.146 states/eV/atom for the records listed above, in that order.